Entry from the Alexandria database: a relaxed structure of La8P4Cl3 (PBE).

Lattice parameters (Å, degrees): 8.4105 8.4207 8.4207 90.29 119.82 119.82
With the nearest neighbours (Å) after each atom.
Positions (direct):
La: 0.4835 0.2338 0.2338  2 P 2.88, 3 Cl 2.99-3.07
La: 0.0000 0.7568 0.2432  3 P 2.90-2.97, 2 Cl 2.98
La: 0.9886 0.2416 0.2416  4 P 2.91-2.99, 1 Cl 3.05
La: 0.5000 0.7588 0.2412  3 P 2.88-2.98, 3 Cl 2.97-3.09
La: 0.5000 0.2412 0.7588  3 P 2.88-2.98, 3 Cl 2.97-3.09
La: 0.0114 0.7584 0.7584  4 P 2.91-2.99, 1 Cl 3.05
La: 0.0000 0.2432 0.7568  3 P 2.90-2.97, 2 Cl 2.98
La: 0.5165 0.7662 0.7662  2 P 2.88, 3 Cl 2.99-3.07
P: 0.5000 0.0000 0.0000  6 La 2.88-2.91
P: 0.0000 0.5000 0.0000  6 La 2.97-2.99
P: 0.0000 0.0000 0.0000  6 La 2.88-2.94
P: 0.0000 0.0000 0.5000  6 La 2.97-2.99
Cl: 0.5000 0.5000 0.0000  6 La 2.97-2.99
Cl: 0.5000 0.0000 0.5000  6 La 2.97-2.99
Cl: 0.5000 0.5000 0.5000  6 La 3.05-3.09

Summary:
Density = 5.27 g/cm3
Density of states at the Fermi level = 9.64 states/eV/cell
Uncorrected formation energy = -23.3 eV/f.u.
Symmetry = No. 12


Entry from the Alexandria database: a relaxed structure of La2P2Cl (PBE).

Lattice parameters (Å, degrees): 7.8812 7.8812 4.0003 90.00 90.00 90.00
With the nearest neighbours (Å) after each atom.
Positions (direct):
P: 0.1011 0.6011 0.5000  1 P 2.25
P: 0.6011 0.8989 0.5000  1 P 2.25
P: 0.8989 0.3989 0.5000  1 P 2.25
P: 0.3989 0.1011 0.5000  1 P 2.25
Cl: 0.0000 0.0000 0.0000  4 La 2.89
Cl: 0.5000 0.5000 0.0000  4 La 2.89
La: 0.3181 0.8181 0.0000  2 Cl 2.89, 6 P 3.06-3.14
La: 0.8181 0.6819 0.0000  2 Cl 2.89, 6 P 3.06-3.14
La: 0.6819 0.1819 0.0000  2 Cl 2.89, 6 P 3.06-3.14
La: 0.1819 0.3181 0.0000  2 Cl 2.89, 6 P 3.06-3.14

Summary:
Density = 5.02 g/cm3
Density of states at the Fermi level = 2.92 states/eV/cell
Uncorrected formation energy = -8.0 eV/f.u.
Symmetry = No. 127


Entry from the Alexandria database: a relaxed structure of LaPCl2 (PBE).

Lattice parameters (Å, degrees): 7.2762 7.2762 4.5098 87.15 87.15 31.88
With the nearest neighbours (Å) after each atom.
Positions (direct):
Cl: 0.8949 0.8949 0.0373  1 P 2.46
Cl: 0.6051 0.6051 0.4627  1 P 2.46
La: 0.2500 0.2500 0.2500  4 Cl 2.97, 4 P 3.01
P: 0.7500 0.7500 0.7500  2 Cl 2.46

Summary:
Density = 3.17 g/cm3
Polymorph energy (0 for the lowest one) = 0.000 eV/atom
Uncorrected formation energy = -5.7 eV/f.u.
Symmetry = No. 12


Entry from the Alexandria database: a relaxed structure of LaPCl2 (PBE).

Lattice parameters (Å, degrees): 4.2462 4.2462 5.8861 90.00 90.00 90.00
With the nearest neighbours (Å) after each atom.
Positions (direct):
Cl: 0.0000 0.0000 0.0167  1 La 2.72
Cl: 0.5000 0.5000 0.2794  1 P 2.18
La: 0.0000 0.0000 0.5539  1 Cl 2.72
P: 0.5000 0.5000 0.6500  1 Cl 2.18

Summary:
Density = 3.77 g/cm3
Density of states at the Fermi level = 0.17 states/eV/cell
Polymorph energy (0 for the lowest one) = 0.106 eV/atom
Uncorrected formation energy = -5.2 eV/f.u.
Symmetry = No. 99


Entry from the Alexandria database: a relaxed structure of La4P3Cl (PBE).

Lattice parameters (Å, degrees): 4.2447 7.3664 7.3664 70.79 90.00 90.00
With the nearest neighbours (Å) after each atom.
Positions (direct):
P: 0.5000 0.0001 0.4999  6 La 2.92-2.93
P: 0.9999 0.0001 0.0000  6 La 3.01
P: 0.9999 0.5001 0.5000  6 La 3.01
Cl: 0.5000 0.5002 0.9999  6 La 3.08-3.11
La: 0.0000 0.7659 0.7341  4 P 2.92-3.01, 2 Cl 3.11
La: 0.4998 0.7564 0.2563  5 P 2.93-3.01, 1 Cl 3.08
La: 0.0000 0.2343 0.2658  4 P 2.92-3.01, 2 Cl 3.11
La: 0.5001 0.2438 0.7437  5 P 2.93-3.01, 1 Cl 3.08

Summary:
Density = 5.22 g/cm3
Density of states at the Fermi level = 3.25 states/eV/cell
Uncorrected formation energy = -13.5 eV/f.u.
Symmetry = No. 65


Entry from the Alexandria database: a relaxed structure of LaPCl2 (PBE).

Lattice parameters (Å, degrees): 6.8790 6.8790 6.8790 38.43 38.43 38.43
With the nearest neighbours (Å) after each atom.
Positions (direct):
Cl: 0.0588 0.0588 0.0588  3 P 2.62
Cl: 0.2295 0.2295 0.2295  3 La 3.05, 1 Cl 3.26
La: 0.4800 0.4800 0.4800  3 P 3.04, 6 Cl 3.05-3.11
P: 0.7317 0.7317 0.7317  3 Cl 2.62

Summary:
Density = 3.54 g/cm3
Density of states at the Fermi level = 1.50 states/eV/cell
Polymorph energy (0 for the lowest one) = 0.408 eV/atom
Uncorrected formation energy = -4.0 eV/f.u.
Symmetry = No. 160


Entry from the Alexandria database: a relaxed structure of LaPCl2 (PBE).

Lattice parameters (Å, degrees): 7.6747 7.6747 7.6747 149.96 144.71 47.01
With the nearest neighbours (Å) after each atom.
Positions (direct):
Cl: 0.8994 0.8994 0.0000  2 La 2.89, 2 P 3.14
Cl: 0.6006 0.6006 0.0000  2 La 2.89, 2 P 3.14
La: 0.7500 0.2500 0.5000  4 Cl 2.89, 4 P 3.06
P: 0.2500 0.7500 0.5000  4 La 3.06, 4 Cl 3.14

Summary:
Density = 3.07 g/cm3
Density of states at the Fermi level = 2.73 states/eV/cell
Polymorph energy (0 for the lowest one) = 0.265 eV/atom
Uncorrected formation energy = -4.6 eV/f.u.
Symmetry = No. 71


Entry from the Alexandria database: a relaxed structure of La2PCl (PBE).

Lattice parameters (Å, degrees): 5.1537 5.1537 5.1537 60.00 60.00 60.00
With the nearest neighbours (Å) after each atom.
Positions (direct):
Cl: 0.5000 0.5000 0.5000  4 P 3.16, 4 La 3.16
La: 0.0000 0.0000 0.0000  4 La 3.16, 4 P 3.16
La: 0.2500 0.2500 0.2500  4 La 3.16, 4 Cl 3.16
P: 0.7500 0.7500 0.7500  4 Cl 3.16, 4 La 3.16

Summary:
Density = 5.91 g/cm3
Density of states at the Fermi level = 4.82 states/eV/cell
Uncorrected formation energy = -1.9 eV/f.u.
Symmetry = No. 216


Entry from the Alexandria database: a relaxed structure of LaPCl (PBE).

Lattice parameters (Å, degrees): 4.1228 4.1228 8.5485 90.00 90.00 90.00
With the nearest neighbours (Å) after each atom.
Positions (direct):
La: 0.5000 0.0000 0.2388  4 P 2.90, 4 Cl 3.14
La: 0.0000 0.5000 0.7612  4 P 2.90, 4 Cl 3.14
P: 0.5000 0.5000 0.0000  4 La 2.90, 4 P 2.92
P: 0.0000 0.0000 0.0000  4 La 2.90, 4 P 2.92
Cl: 0.5000 0.0000 0.6237  5 La 3.14-3.29
Cl: 0.0000 0.5000 0.3763  5 La 3.14-3.29

Summary:
Density = 4.69 g/cm3
Density of states at the Fermi level = 1.13 states/eV/cell
Polymorph energy (0 for the lowest one) = 0.000 eV/atom
Uncorrected formation energy = -4.8 eV/f.u.
Symmetry = No. 129


Entry from the Alexandria database: a relaxed structure of LaPCl (PBE).

Lattice parameters (Å, degrees): 4.8129 4.8129 3.6987 90.00 90.00 120.00
With the nearest neighbours (Å) after each atom.
Positions (direct):
Cl: 0.0000 0.0000 0.1660  3 La 2.78
La: 0.3333 0.6667 0.1673  3 Cl 2.78
P: 0.6667 0.3333 0.6667  6 Cl 3.34, 6 La 3.34, 2 P 3.70

Summary:
Density = 4.60 g/cm3
Density of states at the Fermi level = 2.76 states/eV/cell
Polymorph energy (0 for the lowest one) = 0.507 eV/atom
Uncorrected formation energy = -3.2 eV/f.u.
Symmetry = No. 187


Entry from the Alexandria database: a relaxed structure of LaP2Cl (PBE).

Lattice parameters (Å, degrees): 5.1490 5.1490 5.1490 126.31 126.31 79.38
With the nearest neighbours (Å) after each atom.
Positions (direct):
Cl: 0.5000 0.5000 0.0000  4 La 3.05, 8 P 3.05-3.29
La: 0.7500 0.2500 0.5000  4 Cl 3.05, 8 P 3.05-3.29
P: 0.0000 0.0000 0.0000  4 P 3.05, 4 La 3.05, 4 Cl 3.29
P: 0.2500 0.7500 0.5000  4 P 3.05, 4 Cl 3.05, 4 La 3.29

Summary:
Density = 4.58 g/cm3
Density of states at the Fermi level = 2.17 states/eV/cell
Polymorph energy (0 for the lowest one) = 0.629 eV/atom
Uncorrected formation energy = -2.0 eV/f.u.
Symmetry = No. 119


Entry from the Alexandria database: a relaxed structure of LaP2Cl (PBE).

Lattice parameters (Å, degrees): 3.9057 3.9057 5.4259 90.00 90.00 90.00
With the nearest neighbours (Å) after each atom.
Positions (direct):
Cl: 0.5000 0.0000 0.5000  4 La 2.76
La: 0.0000 0.5000 0.5000  4 Cl 2.76
P: 0.0000 0.0000 0.0000  4 P 2.76
P: 0.5000 0.5000 0.0000  4 P 2.76

Summary:
Density = 4.74 g/cm3
Density of states at the Fermi level = 2.03 states/eV/cell
Polymorph energy (0 for the lowest one) = 0.247 eV/atom
Uncorrected formation energy = -3.5 eV/f.u.
Symmetry = No. 123


Please write out number 12 again, unchanged.
Entry from the Alexandria database: a relaxed structure of LaP2Cl (PBE).

Lattice parameters (Å, degrees): 3.9057 3.9057 5.4259 90.00 90.00 90.00
With the nearest neighbours (Å) after each atom.
Positions (direct):
Cl: 0.5000 0.0000 0.5000  4 La 2.76
La: 0.0000 0.5000 0.5000  4 Cl 2.76
P: 0.0000 0.0000 0.0000  4 P 2.76
P: 0.5000 0.5000 0.0000  4 P 2.76

Summary:
Density = 4.74 g/cm3
Density of states at the Fermi level = 2.03 states/eV/cell
Polymorph energy (0 for the lowest one) = 0.247 eV/atom
Uncorrected formation energy = -3.5 eV/f.u.
Symmetry = No. 123